Record 1
P2OsPb2: optimized geometry, PBE.

Results
space group = No. 139
ΔE to the lowest computed polymorph = 566 meV/atom
crystal system = tetragonal
density = 9.467 Mg/m³

a b c (Å): 5.3435 5.3435 5.3435
angles (deg): 111.75 111.75 105.00
Last column: nearest neighbours and their distance in Å.
Positions (direct):
P 0.1568 0.1568 0.0000  1 P 2.04, 1 Os 2.23
P 0.8432 0.8432 0.0000  1 P 2.04, 1 Os 2.23
Os 0.5000 0.5000 0.0000  2 P 2.23
Pb 0.2500 0.7500 0.5000  4 P 3.06, 2 Pb 3.25, 4 Os 3.41
Pb 0.7500 0.2500 0.5000  4 P 3.06, 2 Pb 3.25, 4 Os 3.41

=====

Record 2
POsPb2: optimized geometry, PBE.

Results
space group = No. 216
crystal system = cubic
density = 12.730 Mg/m³

a b c (Å): 4.8945 4.8945 4.8945
angles (deg): 60.00 60.00 60.00
Last column: nearest neighbours and their distance in Å.
Positions (direct):
P 0.0000 0.0000 0.0000  4 Pb 3.00, 4 Os 3.00
Os 0.7500 0.7500 0.7500  4 Pb 3.00, 4 P 3.00
Pb 0.2500 0.2500 0.2500  4 Pb 3.00, 4 P 3.00
Pb 0.5000 0.5000 0.5000  4 Pb 3.00, 4 Os 3.00

=====

Record 3
POs2Pb: optimized geometry, PBE.

Results
space group = No. 166
ΔE to the lowest computed polymorph = 186 meV/atom
crystal system = trigonal
density = 15.417 Mg/m³

a b c (Å): 8.7903 8.7903 8.7903
angles (deg): 19.57 19.57 19.57
Last column: nearest neighbours and their distance in Å.
Positions (direct):
P 0.0000 0.0000 0.0000  6 Os 2.41
Os 0.2682 0.2682 0.2682  3 P 2.41
Os 0.7318 0.7318 0.7318  3 P 2.41
Pb 0.5000 0.5000 0.5000  6 Pb 2.99, 6 Os 3.14

=====

DFT formation energy per entry: 0.631; 0.947; 0.488 eV/atom